Computed, not measured: a geometry-optimized Er3Sb2Ru structure at the PBE level of DFT.

Cell: 12.019 4.365 11.537 Å, 90.00 90.00 90.00°
Space group Pnma (No. 62)
Inequivalent atoms, fractional coordinates:
Er1 0.054 0.250 0.133
Er2 0.121 0.750 0.547
Er3 0.243 0.250 0.790
Sb1 0.005 0.250 0.692
Sb2 0.185 0.750 0.998
Ru1 0.125 0.250 0.368

Total magnetization (Bohr magnetons per cell): 0.00
Volume (Å³/f.u.): 151.3
Uncorrected formation energy (eV/atom): -0.83